i | The following is a PBE calculation of Pu2SO after structural relaxation, from Alexandria.

```
Pu2SO
1.0
5.193 0.000 0.000
2.597 4.497 0.000
2.597 1.499 3.365
O Pu S
1 2 1
Direct
0.000 0.000 0.000
0.782 0.782 0.655
0.218 0.218 0.345
0.500 0.500 0.500
```

SG: R-3m


ii | The following is a PBE calculation of Pu2SO after structural relaxation, from Alexandria.

```
Pu2SO
1.0
3.591 0.000 0.000
1.795 3.110 0.000
1.795 1.037 6.672
O Pu S
1 2 1
Direct
0.492 0.492 0.525
0.247 0.247 0.259
0.091 0.091 0.726
0.670 0.670 0.990
```

SG: R3m


iii | The following is a PBE calculation of Pu2SO after structural relaxation, from Alexandria.

```
Pu2SO
1.0
5.371 0.000 0.000
0.000 5.367 0.207
0.000 -0.400 10.373
Pu O S
8 4 4
Direct
0.250 0.500 0.356
0.250 0.500 0.894
0.250 0.000 0.144
0.750 0.500 0.106
0.750 0.500 0.644
0.250 0.000 0.606
0.750 0.000 0.394
0.750 0.000 0.856
0.250 0.000 0.375
0.750 0.500 0.875
0.750 0.000 0.625
0.250 0.500 0.125
0.250 0.500 0.625
0.750 0.500 0.375
0.250 0.000 0.875
0.750 0.000 0.125
```

SG: I4_1/amd


Here is how they stack up, most stable first: iii, ii, i.


i | The following is a PBE calculation of Pu3Sb2O after structural relaxation, from Alexandria.

```
Pu3Sb2O
1.0
6.435 0.000 0.319
3.218 6.228 0.159
-0.479 0.000 15.466
Sb O Pu
8 4 12
Direct
0.945 0.617 0.831
0.649 0.204 0.933
0.438 0.617 0.669
0.055 0.383 0.169
0.853 0.796 0.433
0.562 0.383 0.331
0.147 0.204 0.567
0.351 0.796 0.067
0.245 0.027 0.848
0.755 0.973 0.152
0.272 0.973 0.348
0.728 0.027 0.652
0.905 0.674 0.632
0.068 0.864 0.250
0.636 0.232 0.533
0.869 0.768 0.033
0.131 0.232 0.967
0.421 0.674 0.868
0.418 0.163 0.750
0.932 0.136 0.750
0.364 0.768 0.467
0.582 0.837 0.250
0.095 0.326 0.368
0.579 0.326 0.132
```

SG: C2/c


ii | The following is a PBE calculation of Pu3Sb2O after structural relaxation, from Alexandria.

```
Pu3Sb2O
1.0
4.335 0.000 0.000
0.000 4.684 0.000
-2.167 -2.342 7.967
Pu O Sb
3 1 2
Direct
0.000 0.500 0.000
0.851 0.851 0.702
0.149 0.149 0.298
0.000 0.000 0.000
0.649 0.649 0.299
0.351 0.351 0.701
```

SG: Immm


Here is how they stack up, most stable first: i, ii.


i | The following is a PBE calculation of Pu2SbO after structural relaxation, from Alexandria.

```
Pu2SbO
1.0
4.768 0.000 0.000
0.000 4.249 -1.070
0.000 -0.068 8.702
O Pu Sb
2 4 2
Direct
0.250 0.703 0.406
0.750 0.297 0.594
0.750 0.430 0.860
0.750 0.744 0.488
0.250 0.570 0.140
0.250 0.256 0.512
0.250 0.906 0.812
0.750 0.094 0.188
```

SG: Cmcm


ii | The following is a PBE calculation of Pu2SbO after structural relaxation, from Alexandria.

```
Pu2SbO
1.0
-2.120 1.252 -2.089
0.361 -2.577 -1.911
-5.762 -3.560 3.712
Pu Sb O
2 1 1
Direct
0.000 0.000 0.802
0.000 0.000 0.198
0.500 0.500 0.500
0.500 0.500 0.000
```

SG: P4/mmm


Here is how they stack up, most stable first: i, ii.


i | The following is a PBE calculation of Pu2SbO after structural relaxation, from Alexandria.

```
Pu2SbO
1.0
4.144 0.000 0.000
2.072 3.588 0.000
2.072 1.196 5.309
Sb O Pu
1 1 2
Direct
0.000 0.000 0.000
0.500 0.500 0.500
0.809 0.809 0.573
0.191 0.191 0.427
```

SG: R-3m


ii | The following is a PBE calculation of Pu2SbO after structural relaxation, from Alexandria.

```
Pu2SbO
1.0
-0.183 -1.409 -3.419
-0.818 -5.752 4.418
-6.460 0.899 -0.025
O Sb Pu
2 2 4
Direct
0.765 0.531 0.750
0.235 0.469 0.250
0.990 0.980 0.250
0.010 0.020 0.750
0.650 0.300 0.485
0.350 0.700 0.985
0.650 0.300 0.015
0.350 0.700 0.515
```

SG: Cmcm


Here is how they stack up, most stable first: ii, i.


i | The following is a PBE calculation of Pu3SbO3 after structural relaxation, from Alexandria.

```
Pu3SbO3
1.0
-4.450 5.056 0.465
-3.836 0.624 5.521
2.449 6.191 5.130
O Pu Sb
6 6 2
Direct
0.451 0.800 0.619
0.130 0.451 0.619
0.870 0.549 0.381
0.800 0.130 0.619
0.200 0.870 0.381
0.549 0.200 0.381
0.554 0.899 0.307
0.760 0.446 0.693
0.240 0.554 0.307
0.899 0.240 0.307
0.446 0.101 0.693
0.101 0.760 0.693
0.333 0.333 0.000
0.667 0.667 0.000
```

SG: R-3


ii | The following is a PBE calculation of Pu3SbO3 after structural relaxation, from Alexandria.

```
Pu3SbO3
1.0
-0.330 -2.555 3.028
9.166 -1.451 -0.225
-3.499 6.752 5.317
O Pu Sb
6 6 2
Direct
0.250 0.259 0.289
0.750 0.289 0.031
0.750 0.969 0.259
0.250 0.031 0.741
0.250 0.711 0.969
0.750 0.741 0.711
0.250 0.624 0.705
0.750 0.919 0.624
0.750 0.705 0.081
0.250 0.295 0.919
0.750 0.376 0.295
0.250 0.081 0.376
0.750 0.333 0.667
0.250 0.667 0.333
```

SG: P6_3/m


Here is how they stack up, most stable first: i, ii.


i | The following is a PBE calculation of PuSbO after structural relaxation, from Alexandria.

```
PuSbO
1.0
6.731 0.524 1.002
-1.959 7.134 -0.858
2.813 2.881 5.512
Pu O Sb
4 4 4
Direct
0.667 0.091 0.971
0.279 0.591 0.583
0.938 0.909 0.424
0.826 0.409 0.312
0.269 0.836 0.356
0.808 0.164 0.568
0.894 0.336 0.981
0.682 0.664 0.442
0.680 0.657 0.981
0.361 0.343 0.978
0.272 0.843 0.889
0.269 0.157 0.570
```

SG: Fdd2


ii | The following is a PBE calculation of PuSbO after structural relaxation, from Alexandria.

```
PuSbO
1.0
5.374 0.000 0.000
0.000 3.767 0.000
0.000 -1.883 3.262
Pu O Sb
1 1 1
Direct
0.167 0.667 0.333
0.166 0.000 0.000
0.667 0.333 0.667
```

SG: P-6m2


Here is how they stack up, most stable first: ii, i.


i | The following is a PBE calculation of PuSbO after structural relaxation, from Alexandria.

```
PuSbO
1.0
-2.975 -1.559 -0.537
0.186 -1.417 3.087
-3.741 9.859 2.878
Sb Pu O
2 2 2
Direct
0.433 0.433 0.865
0.567 0.567 0.135
0.182 0.182 0.365
0.818 0.818 0.635
0.709 0.709 0.417
0.291 0.291 0.583
```

SG: I4/mmm


ii | The following is a PBE calculation of PuSbO after structural relaxation, from Alexandria.

```
PuSbO
1.0
3.904 0.000 0.000
-1.952 3.381 0.000
0.000 0.000 10.137
O Sb Pu
2 2 2
Direct
0.333 0.667 0.085
0.667 0.333 0.915
0.667 0.333 0.592
0.333 0.667 0.408
0.333 0.667 0.857
0.667 0.333 0.143
```

SG: P-3m1


Here is how they stack up, most stable first: ii, i.


i | The following is a PBE calculation of Pu2SbO2 after structural relaxation, from Alexandria.

```
Pu2SbO2
1.0
-2.660 1.718 -2.297
-0.158 -3.216 -2.222
-3.283 -1.574 5.956
O Pu Sb
2 2 1
Direct
0.750 0.250 0.500
0.250 0.750 0.500
0.343 0.343 0.685
0.657 0.657 0.315
0.000 0.000 0.000
```

SG: I4/mmm


ii | The following is a PBE calculation of Pu2SbO2 after structural relaxation, from Alexandria.

```
Pu2SbO2
1.0
-2.513 -5.646 0.040
3.730 0.523 -4.900
3.511 0.749 5.372
O Sb Pu
4 2 4
Direct
0.245 0.995 0.490
0.755 0.005 0.510
0.505 0.255 0.010
0.495 0.745 0.990
0.125 0.375 0.250
0.875 0.625 0.750
0.441 0.059 0.250
0.809 0.691 0.250
0.191 0.309 0.750
0.559 0.941 0.750
```

SG: Fddd


Here is how they stack up, most stable first: i, ii.


i | The following is a PBE calculation of PuScO after structural relaxation, from Alexandria.

```
PuScO
1.0
5.923 0.000 0.000
0.000 3.264 0.000
0.000 -1.632 2.827
O Pu Sc
1 1 1
Direct
0.034 0.000 0.000
0.746 0.667 0.333
0.220 0.333 0.667
```

SG: P3m1


ii | The following is a PBE calculation of PuScO after structural relaxation, from Alexandria.

```
PuScO
1.0
6.732 0.000 -0.994
0.000 5.747 0.000
-2.819 0.000 5.885
Pu Sc O
4 4 4
Direct
0.623 0.681 0.740
0.123 0.819 0.240
0.377 0.319 0.260
0.877 0.181 0.760
0.374 0.178 0.765
0.126 0.678 0.735
0.626 0.822 0.235
0.874 0.322 0.265
0.769 0.523 0.483
0.269 0.977 0.983
0.731 0.023 0.017
0.231 0.477 0.517
```

SG: P2_1/c


Here is how they stack up, most stable first: ii, i.


i | The following is a PBE calculation of Pu3Se2O2 after structural relaxation, from Alexandria.

```
Pu3Se2O2
1.0
-3.222 1.599 -1.428
-5.560 -1.813 5.269
-0.339 8.560 5.102
O Pu Se
4 6 4
Direct
0.584 0.484 0.348
0.042 0.240 0.676
0.958 0.760 0.324
0.416 0.516 0.652
0.916 0.002 0.166
0.084 0.998 0.834
0.859 0.495 0.787
0.599 0.261 0.541
0.141 0.505 0.213
0.401 0.739 0.459
0.737 0.874 0.651
0.263 0.126 0.349
0.613 0.749 0.024
0.387 0.251 0.976
```

SG: C2/m


ii | The following is a PBE calculation of Pu3Se2O2 after structural relaxation, from Alexandria.

```
Pu3Se2O2
1.0
6.776 0.000 -0.293
0.000 7.381 0.000
2.778 0.000 6.101
Pu Se O
6 4 4
Direct
0.000 0.000 0.000
0.257 0.375 0.563
0.757 0.125 0.563
0.743 0.625 0.437
0.500 0.500 0.000
0.243 0.875 0.437
0.931 0.649 0.792
0.569 0.149 0.208
0.069 0.351 0.208
0.431 0.851 0.792
0.450 0.615 0.337
0.950 0.885 0.337
0.550 0.385 0.663
0.050 0.115 0.663
```

SG: P2_1/c


Here is how they stack up, most stable first: i, ii.


i | The following is a PBE calculation of Pu2SnO after structural relaxation, from Alexandria.

```
Pu2SnO
1.0
4.792 0.000 -2.175
-0.024 5.564 -0.052
0.274 0.065 6.969
O Pu Sn
2 4 2
Direct
0.363 0.871 0.454
0.363 0.371 0.454
0.025 0.621 0.256
0.701 0.621 0.651
0.504 0.121 0.256
0.222 0.121 0.651
0.363 0.621 0.954
0.863 0.121 0.954
```

SG: Cccm


ii | The following is a PBE calculation of Pu2SnO after structural relaxation, from Alexandria.

```
Pu2SnO
1.0
-1.175 -0.785 -2.816
-2.402 -1.470 1.412
-4.250 6.821 -0.129
Pu O Sn
2 1 1
Direct
0.000 0.000 0.193
0.000 0.000 0.807
0.500 0.500 0.000
0.500 0.500 0.500
```

SG: P4/mmm


Here is how they stack up, most stable first: i, ii.